Computed, not measured: a geometry-optimized PuNpP2 structure at the PBE level of DFT.

Geometry as POSCAR:
```
PuNpP2
1.0
-2.804 2.804 5.611
2.804 -2.804 5.611
2.804 2.804 -5.611
Pu Np P
2 2 4
direct
0.375 0.625 0.750
0.625 0.375 0.250
0.125 0.875 0.250
0.875 0.125 0.750
0.124 0.374 0.750
0.374 0.124 0.250
0.626 0.876 0.750
0.876 0.626 0.250
```

## Properties
**Crystal system**: tetragonal
**Size of the total moment**: 1.43 μB per formula unit
**Space-group type**: I4_1/amd
**Mass density**: 10.22 g cm⁻³
**Polymorph energy (0 for the lowest one)**: 1 meV per atom
**Energy of formation from the pure elements**: -0.97 eV/atom

Computed, not measured: a geometry-optimized PuNpP structure at the PBE level of DFT.

Geometry as POSCAR:
```
PuNpP
1.0
6.565 0.000 0.000
0.000 3.714 0.000
0.000 0.000 9.558
Pu Np P
4 4 4
direct
0.187 0.250 0.103
0.313 0.750 0.603
0.687 0.250 0.397
0.813 0.750 0.897
0.069 0.250 0.367
0.431 0.750 0.867
0.569 0.250 0.133
0.931 0.750 0.633
0.119 0.250 0.816
0.381 0.750 0.316
0.619 0.250 0.684
0.881 0.750 0.184
```

## Properties
**Crystal system**: orthorhombic
**Size of the total moment**: 2.12 μB per formula unit
**Space-group type**: Pnma
**Mass density**: 14.59 g cm⁻³
**Energy of formation from the pure elements**: -0.44 eV/atom

Computed, not measured: a geometry-optimized Pu5NpP6 structure at the PBE level of DFT.

Geometry as POSCAR:
```
Pu5NpP6
1.0
3.452 -5.983 0.000
3.452 5.983 0.000
-2.308 0.000 6.483
Pu Np P
5 1 6
direct
0.000 0.000 0.000
0.166 0.834 0.500
0.333 0.667 0.000
0.667 0.333 0.000
0.834 0.166 0.500
0.500 0.500 0.500
0.087 0.418 0.252
0.252 0.252 0.749
0.418 0.087 0.252
0.582 0.913 0.748
0.748 0.748 0.251
0.913 0.582 0.748
```

## Properties
**Crystal system**: monoclinic
**Size of the total moment**: 8.57 μB per formula unit
**Space-group type**: C2/m
**Mass density**: 10.19 g cm⁻³
**Energy of formation from the pure elements**: -1.07 eV/atom

Computed, not measured: a geometry-optimized PuNpP structure at the PBE level of DFT.

Geometry as POSCAR:
```
PuNpP
1.0
4.391 0.000 0.000
-2.196 3.803 0.000
0.000 0.000 3.195
Pu Np P
1 1 1
direct
0.000 0.000 0.000
0.667 0.333 0.795
0.333 0.667 0.327
```

## Properties
**Crystal system**: trigonal
**Size of the total moment**: 2.95 μB per formula unit
**Space-group type**: P3m1
**Mass density**: 15.94 g cm⁻³
**Energy of formation from the pure elements**: -0.23 eV/atom

Computed, not measured: a geometry-optimized PuNpP structure at the PBE level of DFT.

Geometry as POSCAR:
```
PuNpP
1.0
3.581 0.000 0.000
0.001 3.708 0.000
0.010 0.933 8.478
Pu Np P
2 2 2
direct
0.250 0.225 0.111
0.750 0.775 0.889
0.250 0.165 0.419
0.750 0.835 0.581
0.250 0.318 0.740
0.750 0.682 0.260
```

## Properties
**Crystal system**: triclinic
**Size of the total moment**: 4.37 μB per formula unit
**Space-group type**: P-1
**Mass density**: 15.10 g cm⁻³
**Energy of formation from the pure elements**: -0.60 eV/atom

Computed, not measured: a geometry-optimized Pu2NpP3 structure at the PBE level of DFT.

Geometry as POSCAR:
```
Pu2NpP3
1.0
-1.993 2.822 5.995
1.993 -2.822 5.995
1.993 2.822 -5.995
Pu Np P
2 1 3
direct
0.167 0.167 0.000
0.833 0.833 0.000
0.500 0.500 0.000
0.000 0.500 0.500
0.336 0.836 0.500
0.664 0.164 0.500
```

## Properties
**Crystal system**: orthorhombic
**Size of the total moment**: 13.77 μB per formula unit
**Space-group type**: Immm
**Mass density**: 10.07 g cm⁻³
**Energy of formation from the pure elements**: -1.06 eV/atom

Computed, not measured: a geometry-optimized PuNp2P4 structure at the PBE level of DFT.

Geometry as POSCAR:
```
PuNp2P4
1.0
2.039 -6.716 0.000
2.039 6.716 0.000
0.000 0.000 11.084
Pu Np P
2 4 8
direct
0.111 0.889 0.750
0.889 0.111 0.250
0.369 0.631 0.557
0.369 0.631 0.943
0.631 0.369 0.057
0.631 0.369 0.443
0.000 0.000 0.000
0.000 0.000 0.500
0.256 0.744 0.149
0.256 0.744 0.351
0.480 0.520 0.750
0.520 0.480 0.250
0.744 0.256 0.649
0.744 0.256 0.851
```

## Properties
**Crystal system**: orthorhombic
**Size of the total moment**: 2.17 μB per formula unit
**Space-group type**: Cmcm
**Mass density**: 9.21 g cm⁻³
**Energy of formation from the pure elements**: -0.65 eV/atom

Computed, not measured: a geometry-optimized PuNpP2 structure at the PBE level of DFT.

Geometry as POSCAR:
```
PuNpP2
1.0
3.389 0.000 0.000
0.000 3.389 0.000
0.000 0.000 6.782
Pu Np P
1 1 2
direct
0.000 0.000 0.000
0.000 0.000 0.500
0.500 0.500 0.254
0.500 0.500 0.746
```

## Properties
**Crystal system**: tetragonal
**Size of the total moment**: 8.87 μB per formula unit
**Space-group type**: P4/mmm
**Mass density**: 11.58 g cm⁻³
**Polymorph energy (0 for the lowest one)**: 167 meV per atom
**Energy of formation from the pure elements**: -0.80 eV/atom